A relaxed structure of Mg2Zn2MoO6, computed with PBE+U.

```
data_Mg2Zn2MoO6
_space_group_name_H-M_alt 'P 1'
_space_group_IT_number 1
_space_group_name_Hall 'P 1'
_cell_length_a 5.178
_cell_length_b 5.178
_cell_length_c 5.119
_cell_angle_alpha 90.00
_cell_angle_beta 90.00
_cell_angle_gamma 120.00
loop_
_atom_site_label
_atom_site_type_symbol
_atom_site_fract_x
_atom_site_fract_y
_atom_site_fract_z
_atom_site_occupancy
Mo1 Mo 0.000 0.000 0.000 1
O1 O 0.000 0.666 0.758 1
O2 O 0.666 0.000 0.758 1
Mg1 Mg 0.667 0.333 0.500 1
Zn1 Zn 0.333 0.667 0.000 1
O3 O 0.334 0.334 0.758 1
O4 O 0.666 0.666 0.242 1
Zn2 Zn 0.667 0.333 0.000 1
O5 O 0.000 0.334 0.242 1
O6 O 0.334 0.000 0.242 1
Mg2 Mg 0.333 0.667 0.500 1
```

Energy, eV/atom: -5.650
Size of the total moment, μB/cell: 2.00
Crystal system: trigonal
Symmetry: P-31m (162)